This record from the Alexandria database describes LiPb3 at its PBEsol-relaxed geometry. The functional is SCAN. Values from VASP.

```
&SYSTEM
  ibrav = 0, nat = 4, ntyp = 2
/
ATOMIC_SPECIES
Li 6.94 Li.upf
Pb 207.20 Pb.upf
CELL_PARAMETERS angstrom
-0.201 3.072 1.680
-3.077 2.139 -4.279
-3.813 -3.635 2.529
ATOMIC_POSITIONS crystal
Li 0.000 0.000 0.000
Pb 0.500 0.500 0.000
Pb 0.743 0.242 0.487
Pb 0.257 0.758 0.513
```

Computed properties:
The energy comes out at -57.59 eV per atom. The size of the total moment comes out at 0.0000 μB per atom.



This record from the Alexandria database describes RbCa2HfAs at its PBEsol-relaxed geometry. The functional is SCAN. Values from VASP.

```
&SYSTEM
  ibrav = 0, nat = 5, ntyp = 4
/
ATOMIC_SPECIES
As 74.92 As.upf
Hf 178.49 Hf.upf
Ca 40.08 Ca.upf
Rb 85.47 Rb.upf
CELL_PARAMETERS angstrom
5.140 0.000 0.000
0.000 5.299 0.000
0.000 0.000 5.299
ATOMIC_POSITIONS crystal
As 0.500 0.500 0.500
Hf 0.500 0.000 0.000
Ca 0.000 0.500 0.000
Rb 0.000 0.000 0.000
Ca 0.000 0.000 0.500
```

Computed properties:
The energy comes out at -22.96 eV per atom. The size of the total moment comes out at 0.0000 μB per atom.



This record from the Alexandria database describes PtRh2W at its PBEsol-relaxed geometry. The functional is SCAN. Values from VASP.

```
&SYSTEM
  ibrav = 0, nat = 4, ntyp = 3
/
ATOMIC_SPECIES
Rh 102.91 Rh.upf
W 183.84 W.upf
Pt 195.08 Pt.upf
CELL_PARAMETERS angstrom
3.787 0.000 0.000
0.000 3.880 0.000
0.000 0.000 3.880
ATOMIC_POSITIONS crystal
Rh 0.000 0.000 0.500
Rh 0.000 0.500 0.000
W 0.500 0.500 0.500
Pt 0.500 0.000 0.000
```

Computed properties:
The energy above the most stable polymorph in this dataset is 49 meV per atom. The size of the total moment comes out at 0.0002 μB per atom.



This record from the Alexandria database describes CrTeBr2 at its PBEsol-relaxed geometry. The functional is SCAN. Values from VASP.

```
&SYSTEM
  ibrav = 0, nat = 4, ntyp = 3
/
ATOMIC_SPECIES
Te 127.60 Te.upf
Br 79.90 Br.upf
Cr 52.00 Cr.upf
CELL_PARAMETERS angstrom
5.093 0.000 0.000
2.547 4.411 0.000
2.547 1.470 4.158
ATOMIC_POSITIONS crystal
Te 0.500 0.500 0.500
Br 0.750 0.750 0.750
Cr 0.000 0.000 0.000
Br 0.250 0.250 0.250
```

Computed properties:
The calculation puts the uncorrected formation energy at 0.316 eV/atom. The size of the total moment comes out at 0.7153 μB per atom.



This record from the Alexandria database describes ScTc4Br at its PBEsol-relaxed geometry. The functional is SCAN. Values from VASP.

```
&SYSTEM
  ibrav = 0, nat = 6, ntyp = 3
/
ATOMIC_SPECIES
Tc 98.00 Tc.upf
Sc 44.96 Sc.upf
Br 79.90 Br.upf
CELL_PARAMETERS angstrom
5.180 0.000 0.000
2.590 4.486 0.000
2.590 1.495 4.230
ATOMIC_POSITIONS crystal
Tc 0.375 0.375 0.375
Tc 0.874 0.375 0.375
Tc 0.375 0.375 0.874
Sc 0.000 0.000 0.000
Br 0.750 0.750 0.750
Tc 0.375 0.874 0.375
```

Computed properties:
The calculation puts the uncorrected formation energy at 0.528 eV/atom. The size of the total moment comes out at 0.0000 μB per atom.



This record from the Alexandria database describes YSiHg3 at its PBEsol-relaxed geometry. The functional is SCAN. Values from VASP.

```
&SYSTEM
  ibrav = 0, nat = 5, ntyp = 3
/
ATOMIC_SPECIES
Hg 200.59 Hg.upf
Si 28.09 Si.upf
Y 88.91 Y.upf
CELL_PARAMETERS angstrom
4.956 0.000 0.000
0.000 4.956 0.000
0.000 0.000 4.956
ATOMIC_POSITIONS crystal
Hg 0.000 0.500 0.000
Si 0.000 0.000 0.000
Hg 0.000 0.000 0.500
Hg 0.500 0.000 0.000
Y 0.500 0.500 0.500
```

Computed properties:
The calculation puts the uncorrected formation energy at 0.083 eV/atom. The size of the total moment comes out at 0.0000 μB per atom.



This record from the Alexandria database describes KOsPdCl2 at its PBEsol-relaxed geometry. The functional is SCAN. Values from VASP.

```
&SYSTEM
  ibrav = 0, nat = 5, ntyp = 4
/
ATOMIC_SPECIES
Os 190.23 Os.upf
K 39.10 K.upf
Cl 35.45 Cl.upf
Pd 106.42 Pd.upf
CELL_PARAMETERS angstrom
-1.972 -3.898 2.442
3.579 -2.927 -1.783
2.817 1.043 3.941
ATOMIC_POSITIONS crystal
Os 0.500 0.000 0.000
K 0.500 0.500 0.500
Cl 0.000 0.500 0.000
Pd 0.000 0.000 0.000
Cl 0.000 0.000 0.500
```

Computed properties:
The calculation puts the uncorrected formation energy at 0.305 eV/atom. The size of the total moment comes out at 0.6644 μB per atom.



This record from the Alexandria database describes Tc2MoSCl at its PBEsol-relaxed geometry. The functional is SCAN. Values from VASP.

```
&SYSTEM
  ibrav = 0, nat = 5, ntyp = 4
/
ATOMIC_SPECIES
Tc 98.00 Tc.upf
Mo 95.94 Mo.upf
Cl 35.45 Cl.upf
S 32.06 S.upf
CELL_PARAMETERS angstrom
4.215 0.000 0.000
0.000 4.215 0.000
0.000 0.000 4.685
ATOMIC_POSITIONS crystal
Tc 0.500 0.000 0.000
Tc 0.000 0.500 0.000
Mo 0.500 0.500 0.500
Cl 0.000 0.000 0.000
S 0.000 0.000 0.500
```

Computed properties:
The calculation puts the uncorrected formation energy at 1.754 eV/atom. The size of the total moment comes out at 0.0988 μB per atom.



This record from the Alexandria database describes MnAl3 at its PBEsol-relaxed geometry. The functional is SCAN. Values from VASP.

```
&SYSTEM
  ibrav = 0, nat = 8, ntyp = 2
/
ATOMIC_SPECIES
Al 26.98 Al.upf
Mn 54.94 Mn.upf
CELL_PARAMETERS angstrom
4.496 0.000 0.000
0.000 4.714 0.000
0.000 0.000 5.223
ATOMIC_POSITIONS crystal
Al 0.000 0.842 0.248
Al 0.500 0.641 0.000
Mn 0.500 0.653 0.500
Mn 0.000 0.347 0.000
Al 0.000 0.842 0.752
Al 0.000 0.359 0.500
Al 0.500 0.158 0.748
Al 0.500 0.158 0.252
```

Computed properties:
The energy comes out at -10.64 eV per atom. The size of the total moment comes out at 0.5087 μB per atom.



This record from the Alexandria database describes Cs2GaHg2 at its PBEsol-relaxed geometry. The functional is SCAN. Values from VASP.

```
&SYSTEM
  ibrav = 0, nat = 5, ntyp = 3
/
ATOMIC_SPECIES
Hg 200.59 Hg.upf
Ga 69.72 Ga.upf
Cs 132.91 Cs.upf
CELL_PARAMETERS angstrom
6.560 -0.016 -0.026
-2.634 6.008 0.026
-2.634 -2.556 5.437
ATOMIC_POSITIONS crystal
Hg 0.000 0.673 0.673
Hg 0.000 0.327 0.327
Ga 0.000 0.000 0.000
Cs 0.500 0.750 0.250
Cs 0.500 0.250 0.750
```

Computed properties:
The energy comes out at -45.73 eV per atom. The size of the total moment comes out at 0.2332 μB per atom.



This record from the Alexandria database describes LaBN2 at its PBEsol-relaxed geometry. The functional is SCAN. Values from VASP.

```
&SYSTEM
  ibrav = 0, nat = 4, ntyp = 3
/
ATOMIC_SPECIES
B 10.81 B.upf
La 138.91 La.upf
N 14.01 N.upf
CELL_PARAMETERS angstrom
-1.514 2.391 2.686
-3.164 2.123 -0.840
-4.468 -2.180 2.256
ATOMIC_POSITIONS crystal
B 0.000 0.000 0.000
La 0.500 0.500 0.500
N 0.090 0.090 0.730
N 0.910 0.910 0.270
```

Computed properties:
The calculation puts the uncorrected formation energy at -1.539 eV/atom. The size of the total moment comes out at 0.0000 μB per atom.



This record from the Alexandria database describes BaY2Tc at its PBEsol-relaxed geometry. The functional is SCAN. Values from VASP.

```
&SYSTEM
  ibrav = 0, nat = 4, ntyp = 3
/
ATOMIC_SPECIES
Y 88.91 Y.upf
Tc 98.00 Tc.upf
Ba 137.33 Ba.upf
CELL_PARAMETERS angstrom
5.240 0.000 0.000
2.620 4.538 0.000
2.620 1.513 4.278
ATOMIC_POSITIONS crystal
Y 0.250 0.250 0.250
Y 0.750 0.750 0.750
Tc 0.500 0.500 0.500
Ba 0.000 0.000 0.000
```

Computed properties:
The energy above the most stable polymorph in this dataset is 0 meV per atom. The size of the total moment comes out at 0.0000 μB per atom.



The calculation returns the following DOS at the Fermi energy values, one per record and in order: 1.514 4.508 3.224 3.316 6.164 2.066 1.854 4.261 1.337 3.856 0.000 3.029 states/eV per cell.